Record 1
A plane-wave DFT calculation with GGA-PBE was carried out for VMo6W5 after structural relaxation.

Unit cell a=4.4697 b=6.3293 c=7.7409 alpha=114.13 beta=106.78 gamma=90.00
Last column: nearest neighbours and their distance in Å.
Fractional positions:
Mo 0.1658 0.4144 0.3316  1 V 2.72, 7 W 2.73-2.76
Mo 0.1658 0.9172 0.3316  1 V 2.72, 7 W 2.73-2.76
Mo 0.5000 0.7526 0.0000  6 W 2.72-2.75, 2 V 2.73
Mo 0.8342 0.0828 0.6684  1 V 2.72, 7 W 2.73-2.76
Mo 0.8342 0.5856 0.6684  1 V 2.72, 7 W 2.73-2.76
Mo 0.5000 0.2474 0.0000  6 W 2.72-2.75, 2 V 2.73
V 0.0000 0.0000 0.0000  8 Mo 2.72-2.73
W 0.6662 0.1662 0.3323  8 Mo 2.72-2.76
W 0.6662 0.6662 0.3325  8 Mo 2.74-2.75
W 0.0000 0.5000 0.0000  8 Mo 2.73-2.75
W 0.3338 0.3338 0.6675  8 Mo 2.74-2.75
W 0.3338 0.8338 0.6677  8 Mo 2.72-2.76

calculated total energy	-139.548	eV per cell
DFT formation energy	-56	meV per atom
symmetry	Immm, No. 71
Fermi-level density of states	6.184	states/eV/cell


Record 2
A plane-wave DFT calculation with GGA-PBE was carried out for Pu2ThSn2 after structural relaxation.

Unit cell a=4.3932 b=5.7835 c=11.6291 alpha=84.62 beta=90.00 gamma=67.68
Last column: nearest neighbours and their distance in Å.
Fractional positions:
Sn 0.8481 0.3038 0.9626  5 Pu 3.21-3.40, 3 Sn 3.22-3.28, 3 Th 3.24-3.48
Sn 0.1519 0.6962 0.0374  5 Pu 3.21-3.40, 3 Sn 3.22-3.28, 3 Th 3.24-3.48
Sn 0.0493 0.9015 0.3463  7 Pu 3.27-3.41, 3 Th 3.34-3.44
Sn 0.9507 0.0985 0.6537  7 Pu 3.27-3.41, 3 Th 3.34-3.44
Pu 0.5410 0.9180 0.8538  1 Th 3.07, 7 Sn 3.21-3.40
Pu 0.3587 0.2827 0.4524  3 Pu 3.11-3.46, 5 Sn 3.29-3.41
Pu 0.6413 0.7173 0.5476  3 Pu 3.11-3.46, 5 Sn 3.29-3.41
Pu 0.4590 0.0820 0.1462  1 Th 3.07, 7 Sn 3.21-3.40
Th 0.7390 0.5219 0.2345  1 Pu 3.07, 4 Sn 3.24-3.34
Th 0.2610 0.4781 0.7655  1 Pu 3.07, 4 Sn 3.24-3.34

calculated total energy	-91.260	eV per cell
DFT formation energy	-308	meV per atom
symmetry	C2/m, No. 12
excess energy over the best structure of this formula in the dataset	0	meV/atom
Fermi-level density of states	27.965	states/eV/cell


Record 3
A plane-wave DFT calculation with GGA-PBE was carried out for Ho4SnPd7 after structural relaxation.

Unit cell a=5.1718 b=9.4126 c=5.9728 alpha=81.00 beta=64.35 gamma=74.05
Last column: nearest neighbours and their distance in Å.
Fractional positions:
Pd 0.3668 0.5219 0.7446  2 Pd 2.68-2.75, 5 Ho 2.80-2.95
Pd 0.5000 0.0000 0.0000  2 Sn 2.59, 2 Pd 2.79, 2 Ho 2.84
Pd 0.0763 0.6900 0.1575  2 Pd 2.75-2.82, 1 Sn 2.90, 3 Ho 2.95-3.03
Pd 0.9237 0.3100 0.8425  2 Pd 2.75-2.82, 1 Sn 2.90, 3 Ho 2.95-3.03
Pd 0.7890 0.9108 0.5111  4 Pd 2.79-3.05, 4 Ho 2.83-2.91, 1 Sn 2.83
Pd 0.6332 0.4781 0.2554  2 Pd 2.68-2.75, 5 Ho 2.80-2.95
Pd 0.2110 0.0892 0.4889  4 Pd 2.79-3.05, 4 Ho 2.83-2.91, 1 Sn 2.83
Ho 0.4091 0.7833 0.3985  8 Pd 2.83-3.03
Ho 0.2112 0.3643 0.2133  5 Pd 2.80-2.95
Ho 0.7888 0.6357 0.7867  5 Pd 2.80-2.95
Ho 0.5909 0.2167 0.6015  8 Pd 2.83-3.03
Sn 0.0000 0.0000 0.0000  6 Pd 2.59-2.90

calculated total energy	-67.290	eV per cell
DFT formation energy	-719	meV per atom
symmetry	C2/m, No. 12
Fermi-level density of states	5.931	states/eV/cell


Record 4
A plane-wave DFT calculation with GGA-PBE was carried out for Pm8InAg2 after structural relaxation.

Unit cell a=5.5604 b=8.5451 c=8.5451 alpha=117.28 beta=99.82 gamma=99.82
Last column: nearest neighbours and their distance in Å.
Fractional positions:
Pm 0.5000 0.2305 0.7695  2 Ag 3.00
Pm 0.6953 0.3981 0.3981  2 Ag 3.25, 4 Pm 3.25-3.63, 1 In 3.35
Pm 0.0933 0.3146 0.0869  2 Ag 3.09-3.29, 2 Pm 3.32-3.38
Pm 0.3047 0.6019 0.6019  2 Ag 3.25, 4 Pm 3.25-3.63, 1 In 3.35
Pm 0.5000 0.7695 0.2305  2 Ag 3.00
Pm 0.9067 0.6854 0.9131  2 Ag 3.09-3.29, 2 Pm 3.32-3.38
Pm 0.9067 0.9131 0.6854  2 Ag 3.09-3.29, 2 Pm 3.32-3.38
Pm 0.0933 0.0869 0.3146  2 Ag 3.09-3.29, 2 Pm 3.32-3.38
Ag 0.0000 0.6923 0.3077  8 Pm 3.00-3.29
Ag 0.0000 0.3077 0.6923  8 Pm 3.00-3.29
In 0.5000 0.0000 0.0000  12 Pm 3.35-3.70

calculated total energy	-47.237	eV per cell
DFT formation energy	-72	meV per atom
symmetry	C2/m, No. 12
excess energy over the best structure of this formula in the dataset	92	meV/atom
Fermi-level density of states	16.318	states/eV/cell